First-principles (PBE) data for an optimized crystal structure of Cu2SbRh, as listed in Alexandria.

```
Cu2SbRh
1.0
-4.984 -1.107 5.825
-5.912 -3.326 3.738
-3.479 -3.912 5.708
Rh Sb Cu
1 1 2
direct
0.503 0.503 0.503
0.752 0.752 0.752
0.993 0.993 0.993
0.252 0.252 0.252
```

Values from the calculation:
As for the total DFT energy (no corrections): -4.72 eV per atom. The formation energy (no corrections) is 0.194 eV per atom. The calculated density is 8.838 g/cm3. For the density of states at the Fermi level, the calculation gives 2.943 states/eV per cell. The spin magnetization is 0.0 μB per formula unit.

First-principles (PBE) data for an optimized crystal structure of Cu2Sb2Rh, as listed in Alexandria.

```
Cu2Sb2Rh
1.0
6.880 0.000 0.000
0.000 6.880 0.000
0.000 0.000 3.977
Sb Cu Rh
4 4 2
direct
0.158 0.342 0.000
0.342 0.842 0.000
0.842 0.658 0.000
0.658 0.158 0.000
0.132 0.632 0.500
0.632 0.868 0.500
0.868 0.368 0.500
0.368 0.132 0.500
0.000 0.000 0.000
0.500 0.500 0.000
```

Values from the calculation:
As for the total DFT energy (no corrections): -4.60 eV per atom. The formation energy (no corrections) is 0.158 eV per atom. The calculated density is 8.352 g/cm3. For the density of states at the Fermi level, the calculation gives 4.446 states/eV per cell. The spin magnetization is 0.0 μB per formula unit.

First-principles (PBE) data for an optimized crystal structure of CuSbRh, as listed in Alexandria.

```
CuSbRh
1.0
-2.904 -0.117 3.772
-4.081 -2.116 1.242
0.584 -2.781 1.925
Rh Sb Cu
1 1 1
direct
0.332 0.332 0.668
0.671 0.671 0.329
0.997 0.997 0.003
```

Values from the calculation:
As for the total DFT energy (no corrections): -5.36 eV per atom. The formation energy (no corrections) is -0.166 eV per atom. The calculated density is 9.914 g/cm3. For the density of states at the Fermi level, the calculation gives 0.887 states/eV per cell. The spin magnetization is 0.0 μB per formula unit.

First-principles (PBE) data for an optimized crystal structure of CuSb2Rh, as listed in Alexandria.

```
CuSb2Rh
1.0
6.403 -0.021 -0.013
5.095 3.878 -0.013
5.095 1.709 3.481
Sb Rh Cu
2 1 1
direct
0.032 0.032 0.032
0.211 0.211 0.211
0.771 0.771 0.771
0.486 0.486 0.486
```

Values from the calculation:
As for the total DFT energy (no corrections): -4.96 eV per atom. The formation energy (no corrections) is -0.040 eV per atom. The calculated density is 7.814 g/cm3. For the density of states at the Fermi level, the calculation gives 2.648 states/eV per cell. The spin magnetization is 0.0 μB per formula unit.

First-principles (PBE) data for an optimized crystal structure of Cu2SbRh, as listed in Alexandria.

```
Cu2SbRh
1.0
3.368 0.000 0.000
0.000 3.368 0.000
0.000 0.000 5.456
Cu Rh Sb
2 1 1
direct
0.500 0.500 0.228
0.000 0.000 0.032
0.000 0.000 0.504
0.500 0.500 0.736
```

Values from the calculation:
As for the total DFT energy (no corrections): -4.97 eV per atom. The formation energy (no corrections) is -0.053 eV per atom. The calculated density is 9.439 g/cm3. For the density of states at the Fermi level, the calculation gives 1.781 states/eV per cell. The spin magnetization is 0.0 μB per formula unit.

First-principles (PBE) data for an optimized crystal structure of CuSbRh4, as listed in Alexandria.

```
CuSbRh4
1.0
0.000 3.663 3.663
3.663 0.000 3.663
3.663 3.663 0.000
Rh Sb Cu
4 1 1
direct
0.375 0.876 0.375
0.876 0.375 0.375
0.375 0.375 0.375
0.375 0.375 0.876
0.750 0.750 0.750
0.000 0.000 0.000
```

Values from the calculation:
As for the total DFT energy (no corrections): -6.00 eV per atom. The formation energy (no corrections) is 0.272 eV per atom. The calculated density is 10.086 g/cm3. For the density of states at the Fermi level, the calculation gives 10.914 states/eV per cell. The spin magnetization is 0.0 μB per formula unit.

First-principles (PBE) data for an optimized crystal structure of CuSb2Rh, as listed in Alexandria.

```
CuSb2Rh
1.0
3.235 0.000 0.000
0.000 3.235 0.000
0.000 0.000 7.225
Rh Cu Sb
1 1 2
direct
0.500 0.500 0.750
0.500 0.500 0.250
0.000 0.000 0.988
0.000 0.000 0.512
```

Values from the calculation:
As for the total DFT energy (no corrections): -4.91 eV per atom. The formation energy (no corrections) is 0.009 eV per atom. The calculated density is 9.004 g/cm3. For the density of states at the Fermi level, the calculation gives 1.740 states/eV per cell. The spin magnetization is 0.0 μB per formula unit.

First-principles (PBE) data for an optimized crystal structure of Cu4SbRh, as listed in Alexandria.

```
Cu4SbRh
1.0
1.783 -3.906 2.388
-3.009 -2.849 2.640
-1.082 -4.533 -1.554
Cu Sb Rh
4 1 1
direct
0.376 0.376 0.873
0.376 0.376 0.376
0.873 0.376 0.376
0.376 0.873 0.376
0.000 0.000 0.000
0.750 0.750 0.750
```

Values from the calculation:
As for the total DFT energy (no corrections): -4.60 eV per atom. The formation energy (no corrections) is 0.045 eV per atom. The calculated density is 9.483 g/cm3. For the density of states at the Fermi level, the calculation gives 2.203 states/eV per cell. The spin magnetization is 0.0 μB per formula unit.

First-principles (PBE) data for an optimized crystal structure of CuSbRh, as listed in Alexandria.

```
CuSbRh
1.0
4.315 0.000 0.000
-2.157 3.737 0.000
0.000 0.000 3.133
Rh Cu Sb
1 1 1
direct
0.667 0.333 0.403
0.000 0.000 0.965
0.333 0.667 0.632
```

Values from the calculation:
As for the total DFT energy (no corrections): -5.18 eV per atom. The formation energy (no corrections) is 0.013 eV per atom. The calculated density is 9.475 g/cm3. For the density of states at the Fermi level, the calculation gives 1.978 states/eV per cell. The spin magnetization is 0.0 μB per formula unit.

First-principles (PBE) data for an optimized crystal structure of CuSb8Rh2, as listed in Alexandria.

```
CuSb8Rh2
1.0
-2.364 -0.534 3.986
-7.520 2.060 -4.003
2.967 -7.787 -1.992
Sb Rh Cu
8 2 1
direct
0.667 0.376 0.254
0.385 0.134 0.885
0.333 0.624 0.746
0.913 0.357 0.826
0.615 0.866 0.115
0.087 0.643 0.174
0.217 0.214 0.344
0.783 0.786 0.656
0.652 0.689 0.317
0.348 0.311 0.683
0.000 0.000 0.000
```

Values from the calculation:
As for the total DFT energy (no corrections): -4.69 eV per atom. The formation energy (no corrections) is 0.014 eV per atom. The calculated density is 6.731 g/cm3. For the density of states at the Fermi level, the calculation gives 5.382 states/eV per cell. The spin magnetization is 0.0 μB per formula unit.

First-principles (PBE) data for an optimized crystal structure of CuSb2Rh2, as listed in Alexandria.

```
CuSb2Rh2
1.0
7.436 0.000 0.000
0.000 7.436 0.000
0.000 0.000 3.295
Rh Sb Cu
4 4 2
direct
0.861 0.361 0.500
0.361 0.139 0.500
0.639 0.861 0.500
0.139 0.639 0.500
0.342 0.842 0.000
0.158 0.342 0.000
0.658 0.158 0.000
0.842 0.658 0.000
0.000 0.000 0.000
0.500 0.500 0.000
```

Values from the calculation:
As for the total DFT energy (no corrections): -5.43 eV per atom. The formation energy (no corrections) is -0.025 eV per atom. The calculated density is 9.350 g/cm3. The calculation puts the energy above the lowest structure with this stoichiometry at 0.110 eV per atom. For the density of states at the Fermi level, the calculation gives 5.129 states/eV per cell. The spin magnetization is 0.0 μB per formula unit.

First-principles (PBE) data for an optimized crystal structure of Cu2SbRh, as listed in Alexandria.

```
Cu2SbRh
1.0
4.648 0.000 0.000
0.000 3.026 0.006
0.000 -0.029 4.492
Cu Rh Sb
2 1 1
direct
0.000 0.537 0.486
0.000 0.963 0.014
0.500 0.250 0.250
0.500 0.750 0.750
```

Values from the calculation:
As for the total DFT energy (no corrections): -4.83 eV per atom. The formation energy (no corrections) is 0.083 eV per atom. The calculated density is 9.245 g/cm3. For the density of states at the Fermi level, the calculation gives 2.499 states/eV per cell. The spin magnetization is 0.0 μB per formula unit.

First-principles (PBE) data for an optimized crystal structure of CuSb3Rh, as listed in Alexandria.

```
CuSb3Rh
1.0
5.137 0.000 0.000
0.000 5.137 0.000
0.000 0.000 5.137
Sb Rh Cu
3 1 1
direct
0.000 0.500 0.000
0.000 0.000 0.500
0.500 0.000 0.000
0.000 0.000 0.000
0.500 0.500 0.500
```

Values from the calculation:
As for the total DFT energy (no corrections): -4.20 eV per atom. The formation energy (no corrections) is 0.561 eV per atom. The calculated density is 6.515 g/cm3. The calculation puts the energy above the lowest structure with this stoichiometry at 0.000 eV per atom. For the density of states at the Fermi level, the calculation gives 4.752 states/eV per cell. The spin magnetization is 0.0 μB per formula unit.

First-principles (PBE) data for an optimized crystal structure of CuSb2Rh, as listed in Alexandria.

```
CuSb2Rh
1.0
4.085 0.000 0.000
0.000 3.675 -0.008
0.000 1.838 5.000
Sb Cu Rh
2 1 1
direct
0.500 0.262 0.351
0.000 0.979 0.915
0.000 0.714 0.446
0.500 0.544 0.788
```

Values from the calculation:
As for the total DFT energy (no corrections): -5.07 eV per atom. The formation energy (no corrections) is -0.145 eV per atom. The calculated density is 9.061 g/cm3. For the density of states at the Fermi level, the calculation gives 2.173 states/eV per cell. The spin magnetization is 0.0 μB per formula unit.

First-principles (PBE) data for an optimized crystal structure of CuSb2Rh, as listed in Alexandria.

```
CuSb2Rh
1.0
7.814 -0.054 -0.032
7.070 3.327 -0.032
7.070 1.555 2.941
Rh Cu Sb
1 1 2
direct
0.750 0.750 0.750
0.250 0.250 0.250
0.002 0.002 0.002
0.498 0.498 0.498
```

Values from the calculation:
As for the total DFT energy (no corrections): -4.97 eV per atom. The formation energy (no corrections) is -0.046 eV per atom. The calculated density is 8.685 g/cm3. For the density of states at the Fermi level, the calculation gives 2.663 states/eV per cell. The spin magnetization is 0.0 μB per formula unit.

First-principles (PBE) data for an optimized crystal structure of Cu3SbRh4, as listed in Alexandria.

```
Cu3SbRh4
1.0
4.217 -0.003 -1.138
-0.305 4.211 -1.121
-0.466 -0.527 6.649
Cu Rh Sb
3 4 1
direct
0.244 0.744 0.488
0.756 0.256 0.512
0.000 0.500 0.000
0.627 0.627 0.255
0.127 0.127 0.255
0.373 0.373 0.745
0.873 0.873 0.745
0.500 0.000 0.000
```

Values from the calculation:
As for the total DFT energy (no corrections): -5.84 eV per atom. The formation energy (no corrections) is -0.113 eV per atom. The calculated density is 10.625 g/cm3. For the density of states at the Fermi level, the calculation gives 12.598 states/eV per cell. The spin magnetization is 0.0 μB per formula unit.

First-principles (PBE) data for an optimized crystal structure of CuSb2Rh, as listed in Alexandria.

```
CuSb2Rh
1.0
-0.719 -2.979 -1.240
3.193 -0.476 -0.711
1.044 -3.056 6.735
Sb Rh Cu
2 1 1
direct
0.000 0.000 0.913
0.500 0.500 0.337
0.500 0.500 0.718
0.000 0.000 0.532
```

Values from the calculation:
As for the total DFT energy (no corrections): -4.99 eV per atom. The formation energy (no corrections) is -0.067 eV per atom. The calculated density is 8.339 g/cm3. For the density of states at the Fermi level, the calculation gives 3.618 states/eV per cell. The spin magnetization is 0.0 μB per formula unit.

First-principles (PBE) data for an optimized crystal structure of CuSb2Rh, as listed in Alexandria.

```
CuSb2Rh
1.0
-4.233 -1.070 4.152
2.985 -4.924 1.774
2.262 0.100 6.703
Sb Rh Cu
4 2 2
direct
0.875 0.878 0.750
0.628 0.125 0.250
0.122 0.625 0.250
0.375 0.372 0.750
0.750 0.250 0.500
0.000 0.000 0.000
0.500 0.500 0.000
0.250 0.750 0.500
```

Values from the calculation:
As for the total DFT energy (no corrections): -4.78 eV per atom. The formation energy (no corrections) is 0.147 eV per atom. The calculated density is 6.640 g/cm3. For the density of states at the Fermi level, the calculation gives 5.930 states/eV per cell. The spin magnetization is 0.0 μB per formula unit.

First-principles (PBE) data for an optimized crystal structure of ScCuSbRh, as listed in Alexandria.

```
ScCuSbRh
1.0
4.569 0.000 0.000
2.285 3.957 0.000
2.285 1.319 3.731
Sc Sb Cu Rh
1 1 1 1
direct
0.500 0.500 0.500
0.000 0.000 0.000
0.250 0.250 0.250
0.750 0.750 0.750
```

Values from the calculation:
As for the total DFT energy (no corrections): -6.04 eV per atom. The formation energy (no corrections) is -0.564 eV per atom. The calculated density is 8.202 g/cm3. For the density of states at the Fermi level, the calculation gives 0.701 states/eV per cell. The spin magnetization is 0.0 μB per formula unit.

First-principles (PBE) data for an optimized crystal structure of Sm2CuSb4Rh3, as listed in Alexandria.

```
Sm2CuSb4Rh3
1.0
4.526 0.000 0.000
0.000 4.526 0.000
0.000 0.000 10.537
Sb Rh Sm Cu
4 3 2 1
direct
0.000 0.000 0.000
0.500 0.000 0.631
0.000 0.500 0.369
0.500 0.500 0.000
0.000 0.500 0.125
0.000 0.000 0.500
0.500 0.000 0.875
0.000 0.500 0.741
0.500 0.000 0.259
0.500 0.500 0.500
```

Values from the calculation:
As for the total DFT energy (no corrections): -5.90 eV per atom. The formation energy (no corrections) is -0.692 eV per atom. The calculated density is 8.924 g/cm3. For the density of states at the Fermi level, the calculation gives 4.317 states/eV per cell. The spin magnetization is 0.0 μB per formula unit.